The following is a DFT calculation (GGA-PBE) of crystalline NaGaI2 at its relaxed geometry.

Volume: 48.47 A^3/atom
Magnetic moment: 0.000 Bohr magnetons per cell
Energy: -2.436 eV/atom
Polymorph energy (0 for the lowest one): 0.87 eV per formula unit
Uncorrected formation energy: -2.30 eV/f.u.

a = 9.8627 Å, b = 9.8627 Å, c = 9.8627 Å
α = 28.56°, β = 28.56°, γ = 28.56°
Positions (direct):
Na 0.0000 0.0000 0.0000
Ga 0.5000 0.5000 0.5000
I 0.3941 0.3941 0.3941
I 0.6059 0.6059 0.6059